Record 1
ZnIrNO | PBE | relaxed

The structure in POSCAR format:
```
ZnIrNO
1.0
-2.086 0.696 -3.110
-2.249 -2.955 0.847
-4.135 4.212 3.717
Ir Zn N O
2 2 2 2
Direct
0.750 0.250 0.500
0.250 0.750 0.500
0.750 0.750 0.927
0.250 0.250 0.073
0.250 0.250 0.631
0.750 0.750 0.369
0.250 0.750 0.000
0.750 0.250 0.000
```

Calculated values
- Space-group type: P4/nmm (129)
- E: -5.749 eV/atom
- ΔE to the lowest computed polymorph: 394 meV per atom

---

Record 2
ZnIrNO | PBE | relaxed

The structure in POSCAR format:
```
ZnIrNO
1.0
-4.858 0.897 0.776
-0.169 -3.858 3.407
1.693 4.594 5.286
Ir Zn O N
4 4 4 4
Direct
0.006 0.035 0.073
0.506 0.465 0.073
0.506 0.965 0.927
0.006 0.535 0.927
0.482 0.934 0.387
0.482 0.434 0.613
0.982 0.566 0.387
0.982 0.066 0.613
0.587 0.563 0.364
0.087 0.937 0.364
0.087 0.437 0.636
0.587 0.063 0.636
0.128 0.394 0.164
0.128 0.894 0.837
0.628 0.606 0.837
0.628 0.106 0.164
```

Calculated values
- Space-group type: Pca2_1 (29)
- E: -6.143 eV/atom
- ΔE to the lowest computed polymorph: 0 meV per atom